The following is a DFT calculation (GGA-PBE) of CuNiW2 after structural relaxation.

```
CuNiW2
1.0
-1.7578 -1.4047 -1.4628
2.0280 -1.2082 -1.2768
0.0278 -5.5825 5.3270
Cu W Ni
1 2 1
Direct
0.0000 0.0000 0.5193 Cu
0.5000 0.5000 0.2682 W
0.0000 0.0000 0.9717 W
0.5000 0.5000 0.7408 Ni
```

Calculated total energy in eV per cell: -35.175
Fermi-level density of states in states/eV per cell: 2.6
Energy above the most stable polymorph in this dataset in meV/atom: 11.8
Size of the total moment in μB per atom: 0.000
SG: P4mm, No. 99